a:
MgTa2Al | Alexandria | PBE | relaxed; symmetry = P4/mmm (123); calculated volume = 71 Å³ per cell
1.0
-3.485 2.637 -0.734
-1.948 -1.728 3.045
1.526 2.717 2.518
Ta Mg Al
2 1 1
Direct
0.000 0.500 0.500
0.000 0.000 0.000
0.500 0.000 0.500
0.500 0.500 0.000

***

b:
MgTa2Al | Alexandria | PBE | relaxed; symmetry = I-4m2 (119); calculated volume = 71 Å³ per cell
1.0
5.202 -0.001 -0.021
2.066 4.775 0.021
-3.620 -2.408 2.857
Al Mg Ta
1 1 2
Direct
0.500 0.500 0.000
0.250 0.750 0.500
0.000 0.000 0.000
0.750 0.250 0.500

***

Stability verdict: a, ahead by 0.061 eV/atom

***

a:
MgTa2Al | Alexandria | PBE | relaxed; symmetry = P4mm (99); calculated volume = 73 Å³ per cell
1.0
2.853 0.000 0.000
0.000 2.853 0.000
0.000 0.000 9.002
Mg Ta Al
1 2 1
Direct
0.500 0.500 0.741
0.500 0.500 0.263
0.000 0.000 0.007
0.000 0.000 0.489

***

b:
MgTa2Al | Alexandria | PBE | relaxed; symmetry = Cmm2 (35); calculated volume = 73 Å³ per cell
1.0
2.889 -0.016 0.000
-0.829 2.768 0.000
0.000 0.000 9.204
Ta Al Mg
2 1 1
Direct
0.500 0.500 0.255
0.000 0.000 0.011
0.000 0.000 0.490
0.500 0.500 0.744

***

Stability verdict: b, ahead by 0.036 eV/atom

***

a:
MgTaAl | Alexandria | PBE | relaxed; symmetry = F-43m (216); calculated volume = 67 Å³ per cell
1.0
-4.347 -1.353 0.012
-1.104 -4.099 1.646
-2.268 -0.338 3.934
Ta Al Mg
1 1 1
Direct
0.750 0.750 0.750
0.000 0.000 0.000
0.500 0.500 0.500

***

b:
MgTaAl | Alexandria | PBE | relaxed; symmetry = P3m1 (156); calculated volume = 56 Å³ per cell
1.0
-0.803 -2.720 0.866
2.069 1.488 1.515
-5.192 2.889 4.255
Ta Al Mg
1 1 1
Direct
0.667 0.333 0.680
0.000 0.000 0.991
0.333 0.667 0.329

***

Stability verdict: b, ahead by 0.777 eV/atom

***

a:
MgTaAl | Alexandria | PBE | relaxed; symmetry = Fmmm (69); calculated volume = 118 Å³ per cell
1.0
5.267 0.000 0.000
2.633 3.932 0.000
2.633 0.000 5.684
Al Mg Ta
2 2 2
Direct
0.617 0.000 0.766
0.383 0.000 0.234
0.823 0.354 0.000
0.177 0.646 0.000
0.250 0.500 0.500
0.750 0.500 0.500

***

b:
MgTaAl | Alexandria | PBE | relaxed; symmetry = F-43m (216); calculated volume = 62 Å³ per cell
1.0
4.448 0.000 0.000
2.224 3.852 0.000
2.224 1.284 3.631
Mg Ta Al
1 1 1
Direct
0.000 0.000 0.000
0.500 0.500 0.500
0.750 0.750 0.750

***

c:
MgTaAl | Alexandria | PBE | relaxed; symmetry = I4mm (107); calculated volume = 55 Å³ per cell
1.0
-6.290 3.047 0.604
-6.869 -0.918 1.095
6.869 -0.861 1.138
Ta Mg Al
1 1 1
Direct
0.658 0.658 0.000
0.334 0.334 0.000
0.008 0.008 0.000

***

d:
MgTaAl | Alexandria | PBE | relaxed; symmetry = P3m1 (156); calculated volume = 53 Å³ per cell
1.0
-3.436 -0.019 -3.024
2.809 -3.602 0.295
-1.751 -1.202 1.997
Al Ta Mg
1 1 1
Direct
0.000 0.000 0.168
0.333 0.667 0.667
0.667 0.333 0.165

***

Stability verdict: c, ahead by 0.126 eV/atom

***

a:
Tb3Mg2Al | Alexandria | PBE | relaxed; symmetry = P4/mmm (123); calculated volume = 157 Å³ per cell
1.0
-3.657 -0.457 -0.001
0.200 -1.594 -3.317
1.290 -10.333 5.042
Mg Tb Al
2 3 1
Direct
0.500 0.500 0.829
0.500 0.500 0.171
0.000 0.000 0.653
0.000 0.000 0.000
0.000 0.000 0.347
0.500 0.500 0.500

***

b:
Tb3Mg2Al | Alexandria | PBE | relaxed; symmetry = P-3m1 (164); calculated volume = 311 Å³ per cell
1.0
-2.161 -3.235 3.554
1.178 -1.786 -4.815
11.805 -3.348 4.130
Al Tb Mg
2 6 4
Direct
0.333 0.667 0.663
0.667 0.333 0.337
0.667 0.333 0.584
0.667 0.333 0.090
0.000 0.000 0.745
0.333 0.667 0.910
0.333 0.667 0.416
0.000 0.000 0.255
0.667 0.333 0.837
0.333 0.667 0.163
0.000 0.000 0.000
0.000 0.000 0.500

***

Stability verdict: b, ahead by 0.013 eV/atom

***

a:
Tb4MgAl3 | Alexandria | PBE | relaxed; symmetry = Pmm2 (25); calculated volume = 202 Å³ per cell
1.0
-1.621 -2.126 -2.444
-2.641 -1.840 3.351
-8.305 8.494 -1.880
Tb Al Mg
4 3 1
Direct
0.500 0.500 0.346
0.000 0.500 0.835
0.500 0.000 0.657
0.000 0.000 0.167
0.000 0.500 0.567
0.500 0.000 0.929
0.000 0.000 0.437
0.500 0.500 0.062

***

b:
Tb4MgAl3 | Alexandria | PBE | relaxed; symmetry = Pmma (51); calculated volume = 390 Å³ per cell
1.0
-2.892 1.662 3.954
-5.168 -4.826 -1.752
4.439 -7.001 6.190
Tb Mg Al
8 2 6
Direct
0.001 0.754 0.250
0.999 0.754 0.750
0.500 0.754 0.000
0.001 0.246 0.250
0.999 0.246 0.750
0.500 0.754 0.500
0.500 0.246 0.500
0.500 0.246 0.000
0.000 0.500 0.500
0.000 0.500 0.000
0.499 0.000 0.750
0.501 0.000 0.250
0.000 0.000 0.000
0.501 0.500 0.250
0.000 0.000 0.500
0.499 0.500 0.750

***

Stability verdict: b, ahead by 0.066 eV/atom

***

a:
TbMgAl4 | Alexandria | PBE | relaxed; symmetry = Cmmm (65); calculated volume = 118 Å³ per cell
1.0
4.114 0.000 -1.395
0.000 4.356 0.000
-0.056 0.000 6.597
Al Mg Tb
4 1 1
Direct
0.180 0.500 0.360
0.324 0.000 0.648
0.676 0.000 0.352
0.820 0.500 0.640
0.000 0.000 0.000
0.500 0.500 0.000

***

b:
TbMgAl4 | Alexandria | PBE | relaxed; symmetry = P-3m1 (164); calculated volume = 235 Å³ per cell
1.0
5.545 0.000 0.000
-2.773 4.802 0.000
0.000 0.000 8.815
Al Mg Tb
8 2 2
Direct
0.829 0.658 0.248
0.829 0.171 0.248
0.000 0.000 0.000
0.171 0.829 0.752
0.658 0.829 0.752
0.342 0.171 0.248
0.171 0.342 0.752
0.000 0.000 0.500
0.333 0.667 0.056
0.667 0.333 0.944
0.667 0.333 0.570
0.333 0.667 0.430

***

Stability verdict: b, ahead by 0.088 eV/atom

***

a:
TbMgAl2 | Alexandria | PBE | relaxed; symmetry = P4/mmm (123); calculated volume = 85 Å³ per cell
1.0
-0.114 -1.439 -3.129
3.385 0.532 -0.368
1.326 -6.429 2.908
Tb Al Mg
1 2 1
Direct
0.500 0.500 0.500
0.000 0.000 0.220
0.000 0.000 0.780
0.500 0.500 0.000

***

b:
TbMgAl2 | Alexandria | PBE | relaxed; symmetry = P4/mmm (123); calculated volume = 84 Å³ per cell
1.0
4.335 0.000 0.000
0.000 4.415 0.000
0.000 0.000 4.415
Tb Al Mg
1 2 1
Direct
0.500 0.500 0.500
0.000 0.000 0.500
0.000 0.500 0.000
0.500 0.000 0.000

***

c:
TbMgAl2 | Alexandria | PBE | relaxed; symmetry = R-3m (166); calculated volume = 90 Å³ per cell
1.0
4.563 0.000 0.000
2.282 3.952 0.000
2.282 1.317 5.013
Al Mg Tb
2 1 1
Direct
0.718 0.718 0.847
0.282 0.282 0.153
0.000 0.000 0.000
0.500 0.500 0.500

***

Stability verdict: b, ahead by 0.134 eV/atom